*i*
The following is a GGA-PBE calculation of a geometry-optimized PaTlZn structure, from the Open Quantum Materials Database.

Summary:
- calculated density (Mg/m³) = 9.58

a = 4.970 Å, b = 4.970 Å, c = 4.970 Å
α = 60.00°, β = 60.00°, γ = 60.00°
Fractional coordinates of all 3 atoms:
Pa: 0.000 0.000 0.000
Tl: 0.750 0.750 0.750
Zn: 0.250 0.250 0.250

*ii*
The following is a GGA-PBE calculation of a geometry-optimized PaTlZn structure, from the Open Quantum Materials Database.

Summary:
- calculated density (Mg/m³) = 11.03

a = 4.743 Å, b = 4.743 Å, c = 4.743 Å
α = 60.00°, β = 60.00°, γ = 60.00°
Fractional coordinates of all 3 atoms:
Pa: 0.000 0.000 0.000
Tl: 0.500 0.500 0.500
Zn: 0.250 0.250 0.250

Most favorable structure: *ii*. The second most favorable one is 0.315 eV/atom above it.

*i*
The following is a GGA-PBE calculation of a geometry-optimized ZrPaTl structure, from the Open Quantum Materials Database.

Summary:
- calculated density (Mg/m³) = 9.97

a = 4.986 Å, b = 4.986 Å, c = 4.986 Å
α = 60.00°, β = 60.00°, γ = 60.00°
Fractional coordinates of all 3 atoms:
Zr: 0.000 0.000 0.000
Pa: 0.500 0.500 0.500
Tl: 0.750 0.750 0.750

*ii*
The following is a GGA-PBE calculation of a geometry-optimized ZrPaTl structure, from the Open Quantum Materials Database.

Summary:
- calculated density (Mg/m³) = 9.37

a = 5.092 Å, b = 5.092 Å, c = 5.092 Å
α = 60.00°, β = 60.00°, γ = 60.00°
Fractional coordinates of all 3 atoms:
Zr: 0.000 0.000 0.000
Pa: 0.750 0.750 0.750
Tl: 0.500 0.500 0.500

Most favorable structure: *i*. The second most favorable one is 0.352 eV/atom above it.

*i*
The following is a GGA-PBE calculation of a geometry-optimized PaW structure, from the Open Quantum Materials Database.

Summary:
- calculated density (Mg/m³) = 16.78

a = 3.079 Å, b = 3.079 Å, c = 5.001 Å
α = 90.00°, β = 90.00°, γ = 120.00°
Fractional coordinates of all 2 atoms:
Pa: 0.000 0.000 0.000
W: 0.667 0.333 0.500

*ii*
The following is a GGA-PBE calculation of a geometry-optimized PaW structure, from the Open Quantum Materials Database.

Summary:
- calculated density (Mg/m³) = 15.12

a = 4.009 Å, b = 4.009 Å, c = 4.009 Å
α = 60.00°, β = 60.00°, γ = 60.00°
Fractional coordinates of all 2 atoms:
Pa: 0.000 0.000 0.000
W: 0.500 0.500 0.500

Most favorable structure: *i*. The second most favorable one is 0.384 eV/atom above it.

*i*
The following is a GGA-PBE calculation of a geometry-optimized ZrPaZn structure, from the Open Quantum Materials Database.

Summary:
- calculated density (Mg/m³) = 8.95

a = 4.668 Å, b = 4.668 Å, c = 4.668 Å
α = 60.00°, β = 60.00°, γ = 60.00°
Fractional coordinates of all 3 atoms:
Zr: 0.000 0.000 0.000
Pa: 0.500 0.500 0.500
Zn: 0.750 0.750 0.750

*ii*
The following is a GGA-PBE calculation of a geometry-optimized ZrPaZn structure, from the Open Quantum Materials Database.

Summary:
- calculated density (Mg/m³) = 8.71

a = 4.710 Å, b = 4.710 Å, c = 4.710 Å
α = 60.00°, β = 60.00°, γ = 60.00°
Fractional coordinates of all 3 atoms:
Zr: 0.000 0.000 0.000
Pa: 0.750 0.750 0.750
Zn: 0.500 0.500 0.500

Most favorable structure: *i*. The second most favorable one is 0.595 eV/atom above it.

*i*
The following is a GGA-PBE calculation of a geometry-optimized Zr2Pa structure, from the Open Quantum Materials Database.

Summary:
- calculated density (Mg/m³) = 9.65

a = 8.800 Å, b = 8.800 Å, c = 5.274 Å
α = 90.00°, β = 90.00°, γ = 159.60°
Fractional coordinates of all 6 atoms:
Zr: 0.124 0.876 0.750
Zr: 0.211 0.789 0.250
Zr: 0.789 0.211 0.750
Zr: 0.876 0.124 0.250
Pa: 0.458 0.542 0.750
Pa: 0.542 0.458 0.250

*ii*
The following is a GGA-PBE calculation of a geometry-optimized Zr2Pa structure, from the Open Quantum Materials Database.

Summary:
- calculated density (Mg/m³) = 9.63

a = 8.518 Å, b = 8.518 Å, c = 5.456 Å
α = 90.00°, β = 90.00°, γ = 158.88°
Fractional coordinates of all 6 atoms:
Zr: 0.042 0.958 0.750
Zr: 0.287 0.713 0.250
Zr: 0.713 0.287 0.750
Zr: 0.958 0.042 0.250
Pa: 0.378 0.622 0.750
Pa: 0.622 0.378 0.250

Most favorable structure: *i*. The second most favorable one is 0.046 eV/atom above it.

*i*
The following is a GGA-PBE calculation of a geometry-optimized Zr2Pa structure, from the Open Quantum Materials Database.

Summary:
- calculated density (Mg/m³) = 9.64

a = 8.779 Å, b = 5.328 Å, c = 12.380 Å
α = 90.00°, β = 100.25°, γ = 90.00°
Fractional coordinates of all 24 atoms:
Zr: 0.074 0.250 0.077
Zr: 0.079 0.250 0.323
Zr: 0.079 0.250 0.574
Zr: 0.088 0.250 0.828
Zr: 0.249 0.750 0.087
Zr: 0.251 0.750 0.343
Zr: 0.412 0.250 0.001
Zr: 0.415 0.250 0.486
Zr: 0.585 0.750 0.514
Zr: 0.588 0.750 0.999
Zr: 0.749 0.250 0.657
Zr: 0.751 0.250 0.913
Zr: 0.912 0.750 0.172
Zr: 0.921 0.750 0.426
Zr: 0.921 0.750 0.677
Zr: 0.926 0.750 0.923
Pa: 0.253 0.750 0.603
Pa: 0.253 0.750 0.829
Pa: 0.404 0.250 0.241
Pa: 0.424 0.250 0.744
Pa: 0.576 0.750 0.256
Pa: 0.596 0.750 0.759
Pa: 0.747 0.250 0.171
Pa: 0.747 0.250 0.397

*ii*
The following is a GGA-PBE calculation of a geometry-optimized Zr2Pa structure, from the Open Quantum Materials Database.

Summary:
- calculated density (Mg/m³) = 9.73

a = 5.411 Å, b = 9.756 Å, c = 5.349 Å
α = 90.00°, β = 90.00°, γ = 90.00°
Fractional coordinates of all 12 atoms:
Zr: 0.250 0.080 0.005
Zr: 0.250 0.250 0.505
Zr: 0.250 0.420 0.005
Zr: 0.250 0.750 0.007
Zr: 0.750 0.250 0.993
Zr: 0.750 0.580 0.995
Zr: 0.750 0.750 0.495
Zr: 0.750 0.920 0.995
Pa: 0.250 0.581 0.506
Pa: 0.250 0.919 0.506
Pa: 0.750 0.081 0.494
Pa: 0.750 0.419 0.494

*iii*
The following is a GGA-PBE calculation of a geometry-optimized Zr2Pa structure, from the Open Quantum Materials Database.

Summary:
- calculated density (Mg/m³) = 3.26

a = 8.413 Å, b = 8.413 Å, c = 8.413 Å
α = 60.00°, β = 60.00°, γ = 60.00°
Fractional coordinates of all 6 atoms:
Zr: 0.000 0.000 0.000
Zr: 0.000 0.000 0.500
Zr: 0.000 0.500 0.000
Zr: 0.500 0.000 0.000
Pa: 0.125 0.125 0.125
Pa: 0.875 0.875 0.875

*iv*
The following is a GGA-PBE calculation of a geometry-optimized Zr2Pa structure, from the Open Quantum Materials Database.

Summary:
- calculated density (Mg/m³) = 9.62

a = 5.492 Å, b = 5.492 Å, c = 5.266 Å
α = 90.00°, β = 90.00°, γ = 63.97°
Fractional coordinates of all 6 atoms:
Zr: 0.037 0.305 0.250
Zr: 0.305 0.037 0.750
Zr: 0.695 0.963 0.250
Zr: 0.963 0.695 0.750
Pa: 0.377 0.623 0.250
Pa: 0.623 0.377 0.750

Most favorable structure: *iv*. The second most favorable one is 0.006 eV/atom above it.

*i*
The following is a GGA-PBE calculation of a geometry-optimized ZrPa structure, from the Open Quantum Materials Database.

Summary:
- calculated density (Mg/m³) = 11.05

a = 5.525 Å, b = 6.361 Å, c = 5.513 Å
α = 90.00°, β = 90.00°, γ = 90.00°
Fractional coordinates of all 8 atoms:
Zr: 0.000 0.000 0.000
Zr: 0.000 0.249 0.499
Zr: 0.000 0.751 0.499
Zr: 0.500 0.000 0.662
Pa: 0.000 0.500 0.004
Pa: 0.500 0.243 0.163
Pa: 0.500 0.500 0.657
Pa: 0.500 0.757 0.163

*ii*
The following is a GGA-PBE calculation of a geometry-optimized ZrPa structure, from the Open Quantum Materials Database.

Summary:
- calculated density (Mg/m³) = 11.15

a = 5.461 Å, b = 6.435 Å, c = 10.928 Å
α = 90.00°, β = 90.00°, γ = 90.00°
Fractional coordinates of all 16 atoms:
Zr: 0.250 0.005 0.108
Zr: 0.250 0.495 0.108
Zr: 0.250 0.750 0.367
Zr: 0.250 0.750 0.866
Zr: 0.750 0.250 0.134
Zr: 0.750 0.250 0.633
Zr: 0.750 0.505 0.892
Zr: 0.750 0.995 0.892
Pa: 0.250 0.000 0.621
Pa: 0.250 0.250 0.365
Pa: 0.250 0.250 0.850
Pa: 0.250 0.500 0.621
Pa: 0.750 0.000 0.379
Pa: 0.750 0.500 0.379
Pa: 0.750 0.750 0.150
Pa: 0.750 0.750 0.635

Most favorable structure: *ii*. The second most favorable one is 0.057 eV/atom above it.

*i*
The following is a GGA-PBE calculation of a geometry-optimized ZrPa structure, from the Open Quantum Materials Database.

Summary:
- calculated density (Mg/m³) = 11.20

a = 3.104 Å, b = 5.330 Å, c = 11.558 Å
α = 90.00°, β = 90.00°, γ = 90.00°
Fractional coordinates of all 8 atoms:
Zr: 0.250 0.250 0.058
Zr: 0.250 0.750 0.186
Zr: 0.750 0.250 0.814
Zr: 0.750 0.750 0.942
Pa: 0.250 0.250 0.564
Pa: 0.250 0.750 0.688
Pa: 0.750 0.250 0.312
Pa: 0.750 0.750 0.436

*ii*
The following is a GGA-PBE calculation of a geometry-optimized ZrPa structure, from the Open Quantum Materials Database.

Summary:
- calculated density (Mg/m³) = 11.10

a = 5.222 Å, b = 3.108 Å, c = 5.940 Å
α = 90.00°, β = 90.00°, γ = 90.00°
Fractional coordinates of all 4 atoms:
Zr: 0.250 0.000 0.128
Zr: 0.750 0.000 0.872
Pa: 0.250 0.500 0.621
Pa: 0.750 0.500 0.379

*iii*
The following is a GGA-PBE calculation of a geometry-optimized ZrPa structure, from the Open Quantum Materials Database.

Summary:
- calculated density (Mg/m³) = 10.48

a = 4.165 Å, b = 4.165 Å, c = 4.165 Å
α = 60.00°, β = 60.00°, γ = 60.00°
Fractional coordinates of all 2 atoms:
Zr: 0.000 0.000 0.000
Pa: 0.500 0.500 0.500

Most favorable structure: *i*. The second most favorable one is 0.022 eV/atom above it.

*i*
The following is a GGA-PBE calculation of a geometry-optimized ZrPa structure, from the Open Quantum Materials Database.

Summary:
- calculated density (Mg/m³) = 11.05

a = 5.363 Å, b = 13.216 Å, c = 5.466 Å
α = 90.00°, β = 90.00°, γ = 90.00°
Fractional coordinates of all 16 atoms:
Zr: 0.250 0.130 0.218
Zr: 0.250 0.250 0.717
Zr: 0.250 0.370 0.218
Zr: 0.250 0.750 0.675
Zr: 0.750 0.250 0.325
Zr: 0.750 0.630 0.782
Zr: 0.750 0.750 0.283
Zr: 0.750 0.870 0.782
Pa: 0.250 0.001 0.720
Pa: 0.250 0.499 0.720
Pa: 0.250 0.614 0.173
Pa: 0.250 0.886 0.173
Pa: 0.750 0.114 0.827
Pa: 0.750 0.386 0.827
Pa: 0.750 0.501 0.280
Pa: 0.750 0.999 0.280

*ii*
The following is a GGA-PBE calculation of a geometry-optimized ZrPa structure, from the Open Quantum Materials Database.

Summary:
- calculated density (Mg/m³) = 9.29

a = 4.334 Å, b = 4.334 Å, c = 4.334 Å
α = 60.00°, β = 60.00°, γ = 60.00°
Fractional coordinates of all 2 atoms:
Zr: 0.000 0.000 0.000
Pa: 0.250 0.250 0.250

*iii*
The following is a GGA-PBE calculation of a geometry-optimized ZrPa structure, from the Open Quantum Materials Database.

Summary:
- calculated density (Mg/m³) = 11.13

a = 5.477 Å, b = 5.431 Å, c = 6.465 Å
α = 90.00°, β = 90.00°, γ = 90.00°
Fractional coordinates of all 8 atoms:
Zr: 0.027 0.250 0.124
Zr: 0.473 0.750 0.624
Zr: 0.527 0.250 0.376
Zr: 0.973 0.750 0.876
Pa: 0.039 0.250 0.624
Pa: 0.461 0.750 0.124
Pa: 0.539 0.250 0.876
Pa: 0.961 0.750 0.376

*iv*
The following is a GGA-PBE calculation of a geometry-optimized ZrPa structure, from the Open Quantum Materials Database.

Summary:
- calculated density (Mg/m³) = 11.05

a = 3.180 Å, b = 3.180 Å, c = 5.529 Å
α = 90.00°, β = 90.00°, γ = 120.00°
Fractional coordinates of all 2 atoms:
Zr: 0.000 0.000 0.000
Pa: 0.333 0.667 0.500

Most favorable structure: *iv*. The second most favorable one is 0.020 eV/atom above it.

*i*
The following is a GGA-PBE calculation of a geometry-optimized Zr3Pa structure, from the Open Quantum Materials Database.

Summary:
- calculated density (Mg/m³) = 8.85

a = 5.337 Å, b = 6.242 Å, c = 5.688 Å
α = 90.00°, β = 90.00°, γ = 90.00°
Fractional coordinates of all 8 atoms:
Zr: 0.250 0.008 0.137
Zr: 0.250 0.492 0.137
Zr: 0.250 0.750 0.636
Zr: 0.750 0.250 0.364
Zr: 0.750 0.508 0.863
Zr: 0.750 0.992 0.863
Pa: 0.250 0.250 0.627
Pa: 0.750 0.750 0.373

*ii*
The following is a GGA-PBE calculation of a geometry-optimized Zr3Pa structure, from the Open Quantum Materials Database.

Summary:
- calculated density (Mg/m³) = 8.77

a = 6.361 Å, b = 6.361 Å, c = 5.455 Å
α = 90.00°, β = 90.00°, γ = 120.00°
Fractional coordinates of all 8 atoms:
Zr: 0.163 0.326 0.250
Zr: 0.163 0.837 0.250
Zr: 0.326 0.163 0.750
Zr: 0.674 0.837 0.250
Zr: 0.837 0.163 0.750
Zr: 0.837 0.674 0.750
Pa: 0.333 0.667 0.750
Pa: 0.667 0.333 0.250

Most favorable structure: *i*. The second most favorable one is 0.043 eV/atom above it.